1.
Computed, not measured: crystalline LiYC at its relaxed geometry at the PBE level of DFT.

The calculation puts the formation energy at 1.1 kJ per mole of atoms.

The space group is Cmcm (No. 63) and the conventional cell measures 4.9985, 10.4893 and 3.8101 Å, with angles of 90.00, 90.00 and 90.00 degrees. The inequivalent atoms are Li at (0.0000, 0.0532, 0.2500), Y at (0.0000, 0.3171, 0.2500) and C at (0.0000, 0.1669, 0.7500).



2.
Computed, not measured: crystalline MgInHg5 at its relaxed geometry at the PBE level of DFT.

The calculation puts the formation energy at -2.8 kJ per mole of atoms.

The space group is P4/mmm (No. 123) and the conventional cell measures 4.5796, 4.5796 and 8.7552 Å, with angles of 90.00, 90.00 and 90.00 degrees. The inequivalent atoms are Mg at (0.0000, 0.0000, 0.0000), In at (0.0000, 0.0000, 0.5000), Hg at (0.0000, 0.5000, 0.2121) and Hg at (0.5000, 0.5000, 0.5000).



3.
Computed, not measured: crystalline ZrNiBIr2 at its relaxed geometry at the PBE level of DFT.

The calculation puts the formation energy at -50.4 kJ per mole of atoms.

The space group is P4/mmm (No. 123) and the conventional cell measures 4.1447, 4.1447 and 4.0552 Å, with angles of 90.00, 90.00 and 90.00 degrees. The inequivalent atoms are Zr at (0.0000, 0.0000, 0.0000), Ni at (0.5000, 0.5000, 0.0000), B at (0.5000, 0.5000, 0.5000) and Ir at (0.0000, 0.5000, 0.5000).



4.
Computed, not measured: crystalline Ce2BRh4Au2 at its relaxed geometry at the PBE level of DFT.

The calculation puts the formation energy at -47.3 kJ per mole of atoms.

The space group is I4/mmm (No. 139) and the conventional cell measures 5.9860, 5.9860 and 8.6175 Å, with angles of 90.00, 90.00 and 90.00 degrees. The inequivalent atoms are Ce at (0.0000, 0.0000, 0.2112), B at (0.0000, 0.0000, 0.5000), Rh at (0.2469, 0.2469, 0.5000) and Au at (0.0000, 0.5000, 0.2500).



5.
Computed, not measured: crystalline PrH2Cl6 at its relaxed geometry at the PBE level of DFT.

The space group is C2/c (No. 15) and the conventional cell measures 14.8466, 13.1153 and 5.0845 Å, with angles of 90.00, 90.93 and 90.00 degrees. The inequivalent atoms are Pr at (0.0000, 0.1158, 0.2500), H at (0.1243, 0.3864, 0.2627), Cl at (0.1041, 0.0785, 0.7544), Cl at (0.1282, 0.4966, 0.7669) and Cl at (0.1318, 0.2664, 0.2540).



no.,total energy (eV/atom),D(E_F) (states/eV/f.u.)
1,-5.856,0.893
2,-0.863,3.376
3,-8.268,1.765
4,-6.547,5.953
5,-3.608,1.414